Record 1
YNp2 (GGA-PBE, optimized geometry); VASP energy = -10.3340 eV per atom; spin magnetization = 2.1720 μB per atom
1.0
-0.218 -3.713 -4.518
1.224 -5.665 0.807
-4.271 -3.988 -0.306
Np Y
4 2
Cartesian
-1.932 -6.497 -0.252
-2.653 -5.521 -2.914
-2.041 -8.354 -2.511
0.095 -6.360 -2.358
0.000 0.000 0.000
-0.816 -3.341 -1.004

---

Record 2
Pr2Nd8Ho (GGA-PBE, optimized geometry); ΔE to the lowest computed polymorph = 0.000 eV/f.u.; spin magnetization = 0.0000 μB per atom
1.0
-3.620 2.771 -8.326
-0.338 -3.037 -9.795
-7.207 -2.821 -6.736
Pr Nd Ho
2 8 1
Cartesian
-8.832 -3.225 -19.606
-2.333 0.138 -5.250
-6.258 -2.887 -9.850
-7.877 -0.107 -13.684
-6.103 -3.251 -13.475
-5.063 0.164 -11.381
-3.288 -2.981 -11.172
-4.908 -0.201 -15.006
-7.440 -2.351 -16.542
-3.725 -0.737 -8.314
0.000 0.000 0.000

---

Record 3
LaMnS3 (GGA-PBE, optimized geometry); VASP energy = -5.3483 eV per atom; spin magnetization = 0.8285 μB per atom
1.0
-4.996 1.060 1.896
1.621 -1.348 5.023
1.447 5.171 0.921
La Mn S
1 1 3
Cartesian
0.000 0.000 0.000
-0.964 2.441 3.920
0.810 -0.674 2.512
0.723 2.585 0.460
-2.498 0.530 0.948

---

Record 4
Mg5Ta3 (GGA-PBE, optimized geometry); ΔE to the lowest computed polymorph = 0.055 eV/f.u.; spin magnetization = 0.0000 μB per atom
1.0
8.065 0.577 0.057
-6.135 4.881 -0.137
-1.024 -2.775 7.378
Mg Ta
10 6
Cartesian
2.954 1.051 6.566
1.266 0.137 1.745
-3.399 2.435 1.868
-1.091 3.260 0.036
2.033 -0.823 4.442
-0.618 2.223 2.860
1.676 3.049 1.046
-2.815 1.396 4.716
4.813 -0.996 5.467
6.513 0.847 0.763
-0.976 -0.816 3.730
-0.160 -1.694 6.159
4.321 0.182 2.618
3.468 0.910 0.034
0.228 1.267 5.485
2.340 2.071 3.797